This record from the Alexandria database describes a geometry-optimized Rb2ZrPd2 structure. The functional is PBE-GGA.

Output
final energy = -3.04 eV/atom
magnetic moment = 0.00 μB per formula unit

Structure (CIF):
```
data_Rb2ZrPd2
_symmetry_space_group_name_H-M 'I 4/m m m'
_symmetry_Int_Tables_number 139
_symmetry_space_group_name_Hall '-I 4 2'
_cell_length_a 5.470
_cell_length_b 5.470
_cell_length_c 9.962
_cell_angle_alpha 90.00
_cell_angle_beta 90.00
_cell_angle_gamma 90.00
loop_
_atom_site_label
_atom_site_type_symbol
_atom_site_fract_x
_atom_site_fract_y
_atom_site_fract_z
Rb1 Rb 0.000 0.000 0.146
Zr1 Zr 0.000 0.000 0.500
Pd1 Pd 0.000 0.500 0.250
```



This record from the Alexandria database describes a geometry-optimized RbZr3Pd structure. The functional is PBE-GGA.

Output
final energy = -4.31 eV/atom
magnetic moment = 0.00 μB per formula unit

Structure (CIF):
```
data_RbZr3Pd
_symmetry_space_group_name_H-M 'P m -3 m'
_symmetry_Int_Tables_number 221
_symmetry_space_group_name_Hall '-P 4 2 3'
_cell_length_a 4.980
_cell_length_b 4.980
_cell_length_c 4.980
_cell_angle_alpha 90.00
_cell_angle_beta 90.00
_cell_angle_gamma 90.00
loop_
_atom_site_label
_atom_site_type_symbol
_atom_site_fract_x
_atom_site_fract_y
_atom_site_fract_z
Rb1 Rb 0.000 0.000 0.000
Zr1 Zr 0.000 0.000 0.500
Pd1 Pd 0.500 0.500 0.500
```



This record from the Alexandria database describes a geometry-optimized RbZr2Pd structure. The functional is PBE-GGA.

Output
final energy = -4.91 eV/atom
magnetic moment = 0.00 μB per formula unit

Structure (CIF):
```
data_RbZr2Pd
_symmetry_space_group_name_H-M 'I 41/a m d'
_symmetry_Int_Tables_number 141
_cell_length_a 5.530
_cell_length_b 5.530
_cell_length_c 18.753
_cell_angle_alpha 90.00
_cell_angle_beta 90.00
_cell_angle_gamma 90.00
loop_
_symmetry_equiv_pos_as_xyz
'x,y,z'
'-x,-y,-z'
'-y+1/4,x+3/4,z+1/4'
'y+1/4,-x+3/4,-z+1/4'
'-x+1/2,-y,z+1/2'
'x+1/2,y,-z+1/2'
'y+1/4,-x+1/4,z+3/4'
'-y+1/4,x+1/4,-z+3/4'
'x,-y,-z'
'-x,y,z'
'-y+1/4,-x+1/4,-z+3/4'
'y+1/4,x+1/4,z+3/4'
'-x+1/2,y,-z+1/2'
'x+1/2,-y,z+1/2'
'y+1/4,x+3/4,-z+1/4'
'-y+1/4,-x+3/4,z+1/4'
'x+1/2,y+1/2,z+1/2'
'-x+1/2,-y+1/2,-z+1/2'
'-y+3/4,x+1/4,z+3/4'
'y+3/4,-x+1/4,-z+3/4'
'-x,-y+1/2,z'
'x,y+1/2,-z'
'y+3/4,-x+3/4,z+1/4'
'-y+3/4,x+3/4,-z+1/4'
'x+1/2,-y+1/2,-z+1/2'
'-x+1/2,y+1/2,z+1/2'
'-y+3/4,-x+3/4,-z+1/4'
'y+3/4,x+3/4,z+1/4'
'-x,y+1/2,-z'
'x,-y+1/2,z'
'y+3/4,x+1/4,-z+3/4'
'-y+3/4,-x+1/4,z+3/4'
loop_
_atom_site_label
_atom_site_type_symbol
_atom_site_fract_x
_atom_site_fract_y
_atom_site_fract_z
Rb1 Rb 0.000 0.250 0.375
Zr1 Zr 0.000 0.000 0.000
Pd1 Pd 0.000 0.250 0.875
```



This record from the Alexandria database describes a geometry-optimized Rb2ZrPd2 structure. The functional is PBE-GGA.

Output
final energy = -3.48 eV/atom
magnetic moment = 0.00 μB per formula unit

Structure (CIF):
```
data_Rb2ZrPd2
_symmetry_space_group_name_H-M 'P 4/m b m'
_symmetry_Int_Tables_number 127
_symmetry_space_group_name_Hall '-P 4 2ab'
_cell_length_a 9.373
_cell_length_b 9.373
_cell_length_c 3.025
_cell_angle_alpha 90.00
_cell_angle_beta 90.00
_cell_angle_gamma 90.00
loop_
_atom_site_label
_atom_site_type_symbol
_atom_site_fract_x
_atom_site_fract_y
_atom_site_fract_z
Rb1 Rb 0.119 0.381 0.000
Zr1 Zr 0.000 0.000 0.000
Pd1 Pd 0.187 0.687 0.500
```



This record from the Alexandria database describes a geometry-optimized Rb2ZrPd structure. The functional is PBE-GGA.

Output
final energy = -3.19 eV/atom
magnetic moment = 2.38 μB per formula unit

Structure (CIF):
```
data_Rb2ZrPd
_symmetry_space_group_name_H-M 'I -4 2 d'
_symmetry_Int_Tables_number 122
_symmetry_space_group_name_Hall 'I -4 2bw'
_cell_length_a 12.879
_cell_length_b 12.879
_cell_length_c 5.125
_cell_angle_alpha 90.00
_cell_angle_beta 90.00
_cell_angle_gamma 90.00
loop_
_atom_site_label
_atom_site_type_symbol
_atom_site_fract_x
_atom_site_fract_y
_atom_site_fract_z
Rb1 Rb 0.097 0.250 0.125
Zr1 Zr 0.000 0.000 0.500
Pd1 Pd 0.000 0.000 0.000
```



This record from the Alexandria database describes a geometry-optimized Rb2ZrPd structure. The functional is PBE-GGA.

Output
final energy = -2.66 eV/atom
magnetic moment = 3.65 μB per formula unit

Structure (CIF):
```
data_Rb2ZrPd
_symmetry_space_group_name_H-M 'F m -3 m'
_symmetry_Int_Tables_number 225
_symmetry_space_group_name_Hall '-F 4 2 3'
_cell_length_a 8.345
_cell_length_b 8.345
_cell_length_c 8.345
_cell_angle_alpha 90.00
_cell_angle_beta 90.00
_cell_angle_gamma 90.00
loop_
_atom_site_label
_atom_site_type_symbol
_atom_site_fract_x
_atom_site_fract_y
_atom_site_fract_z
Rb1 Rb 0.250 0.250 0.250
Zr1 Zr 0.000 0.000 0.000
Pd1 Pd 0.000 0.000 0.500
```



This record from the Alexandria database describes a geometry-optimized RbZr3Pd structure. The functional is PBE-GGA.

Output
final energy = -5.66 eV/atom
magnetic moment = 0.00 μB per formula unit

Structure (CIF):
```
data_RbZr3Pd
_symmetry_space_group_name_H-M 'P m -3 m'
_symmetry_Int_Tables_number 221
_symmetry_space_group_name_Hall '-P 4 2 3'
_cell_length_a 5.273
_cell_length_b 5.273
_cell_length_c 5.273
_cell_angle_alpha 90.00
_cell_angle_beta 90.00
_cell_angle_gamma 90.00
loop_
_atom_site_label
_atom_site_type_symbol
_atom_site_fract_x
_atom_site_fract_y
_atom_site_fract_z
Rb1 Rb 0.000 0.000 0.000
Zr1 Zr 0.000 0.500 0.500
Pd1 Pd 0.500 0.500 0.500
```



This record from the Alexandria database describes a geometry-optimized RbZrPd3 structure. The functional is PBE-GGA.

Output
final energy = -3.51 eV/atom
magnetic moment = 1.18 μB per formula unit

Structure (CIF):
```
data_RbZrPd3
_symmetry_space_group_name_H-M 'P m -3 m'
_symmetry_Int_Tables_number 221
_symmetry_space_group_name_Hall '-P 4 2 3'
_cell_length_a 5.023
_cell_length_b 5.023
_cell_length_c 5.023
_cell_angle_alpha 90.00
_cell_angle_beta 90.00
_cell_angle_gamma 90.00
loop_
_atom_site_label
_atom_site_type_symbol
_atom_site_fract_x
_atom_site_fract_y
_atom_site_fract_z
Rb1 Rb 0.000 0.000 0.000
Zr1 Zr 0.500 0.500 0.500
Pd1 Pd 0.000 0.000 0.500
```



This record from the Alexandria database describes a geometry-optimized RbZrPd3 structure. The functional is PBE-GGA.

Output
final energy = -4.69 eV/atom
magnetic moment = 0.00 μB per formula unit

Structure (CIF):
```
data_RbZrPd3
_symmetry_space_group_name_H-M 'P m -3 m'
_symmetry_Int_Tables_number 221
_symmetry_space_group_name_Hall '-P 4 2 3'
_cell_length_a 5.134
_cell_length_b 5.134
_cell_length_c 5.134
_cell_angle_alpha 90.00
_cell_angle_beta 90.00
_cell_angle_gamma 90.00
loop_
_atom_site_label
_atom_site_type_symbol
_atom_site_fract_x
_atom_site_fract_y
_atom_site_fract_z
Rb1 Rb 0.000 0.000 0.000
Zr1 Zr 0.500 0.500 0.500
Pd1 Pd 0.000 0.500 0.500
```



This record from the Alexandria database describes a geometry-optimized Re5Pd structure. The functional is PBE-GGA.

Output
final energy = -11.13 eV/atom
magnetic moment = 0.00 μB per formula unit

Structure (CIF):
```
data_Re5Pd
_symmetry_space_group_name_H-M 'C m m m'
_symmetry_Int_Tables_number 65
_symmetry_space_group_name_Hall '-C 2 2'
_cell_length_a 3.935
_cell_length_b 11.520
_cell_length_c 3.961
_cell_angle_alpha 90.00
_cell_angle_beta 90.00
_cell_angle_gamma 90.00
loop_
_atom_site_label
_atom_site_type_symbol
_atom_site_fract_x
_atom_site_fract_y
_atom_site_fract_z
Re1 Re 0.000 0.000 0.000
Re2 Re 0.000 0.170 0.500
Re3 Re 0.000 0.334 0.000
Pd1 Pd 0.000 0.500 0.500
```



This record from the Alexandria database describes a geometry-optimized RePd5 structure. The functional is PBE-GGA.

Output
final energy = -6.21 eV/atom
magnetic moment = 0.59 μB per formula unit

Structure (CIF):
```
data_RePd5
_symmetry_space_group_name_H-M 'C m m m'
_symmetry_Int_Tables_number 65
_symmetry_space_group_name_Hall '-C 2 2'
_cell_length_a 4.715
_cell_length_b 14.200
_cell_length_c 2.772
_cell_angle_alpha 90.00
_cell_angle_beta 90.00
_cell_angle_gamma 90.00
loop_
_atom_site_label
_atom_site_type_symbol
_atom_site_fract_x
_atom_site_fract_y
_atom_site_fract_z
Re1 Re 0.000 0.000 0.000
Pd1 Pd 0.000 0.160 0.500
Pd2 Pd 0.000 0.329 0.000
Pd3 Pd 0.000 0.500 0.500
```



This record from the Alexandria database describes a geometry-optimized RePd4 structure. The functional is PBE-GGA.

Output
final energy = -5.36 eV/atom
magnetic moment = 0.00 μB per formula unit

Structure (CIF):
```
data_RePd4
_symmetry_space_group_name_H-M 'P m -3 m'
_symmetry_Int_Tables_number 221
_symmetry_space_group_name_Hall '-P 4 2 3'
_cell_length_a 4.758
_cell_length_b 4.758
_cell_length_c 4.758
_cell_angle_alpha 90.00
_cell_angle_beta 90.00
_cell_angle_gamma 90.00
loop_
_atom_site_label
_atom_site_type_symbol
_atom_site_fract_x
_atom_site_fract_y
_atom_site_fract_z
Re1 Re 0.000 0.000 0.000
Pd1 Pd 0.000 0.000 0.500
Pd2 Pd 0.500 0.500 0.500
```



This record from the Alexandria database describes a geometry-optimized Re4Pd structure. The functional is PBE-GGA.

Output
final energy = -8.11 eV/atom
magnetic moment = 0.61 μB per formula unit

Structure (CIF):
```
data_Re4Pd
_symmetry_space_group_name_H-M 'P m -3 m'
_symmetry_Int_Tables_number 221
_symmetry_space_group_name_Hall '-P 4 2 3'
_cell_length_a 4.589
_cell_length_b 4.589
_cell_length_c 4.589
_cell_angle_alpha 90.00
_cell_angle_beta 90.00
_cell_angle_gamma 90.00
loop_
_atom_site_label
_atom_site_type_symbol
_atom_site_fract_x
_atom_site_fract_y
_atom_site_fract_z
Re1 Re 0.000 0.000 0.000
Re2 Re 0.000 0.500 0.500
Pd1 Pd 0.500 0.500 0.500
```